# 1
Computed, not measured: a relaxed CuNi2Pb crystal at the GGA-PBE level of DFT.

Properties
Energy: -4.563 eV per atom

Cell lengths 3.138, 3.348, 5.675 Å; angles 90.00, 90.00, 90.00 degrees
Fractional coordinates of all 4 atoms:
Cu  0.000  0.000  0.000
Ni  0.000  0.000  0.579
Ni  0.500  0.500  0.803
Pb  0.500  0.500  0.311


# 2
Computed, not measured: a relaxed As2RuSe crystal at the GGA-PBE level of DFT.

Properties
Energy: -5.069 eV per atom
E_form (uncorrected): 43.1 kJ per mole of atoms

Cell lengths 3.158, 4.566, 4.714 Å; angles 90.00, 90.00, 90.00 degrees
Fractional coordinates of all 4 atoms:
As  0.000  0.000  0.000
As  0.500  0.500  0.000
Ru  0.000  0.500  0.500
Se  0.500  0.000  0.500


# 3
Computed, not measured: a relaxed EuPuHgSb crystal at the GGA-PBE level of DFT.

Properties
Energy: -7.803 eV per atom
E_form (uncorrected): -52.6 kJ per mole of atoms

Cell lengths 5.439, 5.439, 5.439 Å; angles 60.00, 60.00, 60.00 degrees
Fractional coordinates of all 4 atoms:
Eu  0.000  0.000  0.000
Pu  0.500  0.500  0.500
Hg  0.750  0.750  0.750
Sb  0.250  0.250  0.250


# 4
Computed, not measured: a relaxed ScTlCdTe3 crystal at the GGA-PBE level of DFT.

Properties
Energy: -3.891 eV per atom
E_form (uncorrected): -69.2 kJ per mole of atoms

Cell lengths 9.181, 4.366, 10.460 Å; angles 90.00, 107.61, 90.00 degrees
Fractional coordinates of all 12 atoms:
Sc  0.171  0.250  0.136
Sc  0.829  0.750  0.864
Tl  0.289  0.750  0.768
Tl  0.711  0.250  0.232
Cd  0.419  0.750  0.392
Cd  0.581  0.250  0.608
Te  0.041  0.250  0.847
Te  0.250  0.250  0.453
Te  0.388  0.750  0.117
Te  0.612  0.250  0.883
Te  0.750  0.750  0.547
Te  0.959  0.750  0.153


# 5
Computed, not measured: a relaxed KBe2Ir crystal at the GGA-PBE level of DFT.

Properties
Energy relative to the lowest polymorph listed for this composition: 187 meV/atom
Energy: -4.235 eV per atom

Cell lengths 2.948, 2.948, 7.605 Å; angles 90.00, 90.00, 90.00 degrees
Fractional coordinates of all 4 atoms:
K  0.000  0.000  0.000
Be  0.500  0.500  0.355
Be  0.500  0.500  0.645
Ir  0.000  0.000  0.500


- energy of number 3 (EuPuHgSb)?
  -7.803 eV per atom